W2AuSe: optimized geometry, GGA-PBE.

Summary:
Raw formation energy: 0.326 eV per atom
Total magnetic moment: 0.0 μB/cell

```
W2AuSe
1.0
2.947 0.000 0.000
0.000 2.947 0.000
0.000 0.000 8.510
W Au Se
2 1 1
direct
0.000 0.000 0.000
0.500 0.500 0.228
0.000 0.000 0.461
0.500 0.500 0.814
```


KPrH: optimized geometry, GGA-PBE.

Summary:
E: -3.012 eV per atom
Total magnetic moment: 0.0 μB/cell

```
KPrH
1.0
14.421 0.000 0.000
0.000 1.835 3.176
0.000 -1.835 3.176
K Pr H
2 2 2
direct
0.122 0.000 0.000
0.878 0.000 0.000
0.385 0.668 0.668
0.615 0.668 0.668
0.000 0.666 0.666
0.500 0.001 0.001
```


Nd2IrBr2: optimized geometry, GGA-PBE.

Summary:
Raw formation energy: -1.280 eV per atom
Total magnetic moment: 0.0 μB/cell

```
Nd2IrBr2
1.0
2.069 1.195 10.982
-2.069 1.195 10.982
0.000 -2.389 10.982
Nd Ir Br
2 1 2
direct
0.117 0.117 0.117
0.883 0.883 0.883
0.500 0.500 0.500
0.276 0.276 0.276
0.724 0.724 0.724
```


Pa4Al12Pd: optimized geometry, GGA-PBE.

Summary:
Total magnetic moment: 0.0 μB/cell
Formation energy from the elements: -0.362 eV/atom

```
Pa4Al12Pd
1.0
-4.339 4.339 4.339
4.339 -4.339 4.339
4.339 4.339 -4.339
Pa Al Pd
4 12 1
direct
0.000 0.000 0.500
0.000 0.500 0.000
0.500 0.000 0.000
0.500 0.500 0.500
0.000 0.296 0.296
0.000 0.704 0.704
0.250 0.500 0.750
0.250 0.750 0.500
0.296 0.000 0.296
0.296 0.296 0.000
0.500 0.250 0.750
0.500 0.750 0.250
0.704 0.000 0.704
0.704 0.704 0.000
0.750 0.250 0.500
0.750 0.500 0.250
0.000 0.000 0.000
```


AcDyAlPd: optimized geometry, GGA-PBE.

Summary:
Total magnetic moment: 0.0 μB/cell
Formation energy from the elements: -0.432 eV/atom

```
AcDyAlPd
1.0
0.000 3.746 3.746
3.746 0.000 3.746
3.746 3.746 0.000
Ac Dy Al Pd
1 1 1 1
direct
0.000 0.000 0.000
0.500 0.500 0.500
0.250 0.250 0.250
0.750 0.750 0.750
```


LaBe2Si2: optimized geometry, GGA-PBE.

Summary:
Raw formation energy: 0.182 eV per atom
Total magnetic moment: 0.0 μB/cell

```
LaBe2Si2
1.0
7.472 0.000 0.000
0.000 7.472 0.000
0.000 0.000 2.922
La Be Si
2 4 4
direct
0.000 0.000 0.000
0.500 0.500 0.000
0.137 0.363 0.500
0.363 0.863 0.500
0.637 0.137 0.500
0.863 0.637 0.500
0.125 0.625 0.000
0.375 0.125 0.000
0.625 0.875 0.000
0.875 0.375 0.000
```


Ho4GaNi: optimized geometry, GGA-PBE.

Summary:
Energy above the lowest structure with this stoichiometry: 0 meV per atom
Total magnetic moment: 0.0 μB/cell
Formation energy from the elements: -0.319 eV/atom

```
Ho4GaNi
1.0
5.342 0.000 0.000
0.000 6.900 0.000
-1.473 0.000 7.995
Ho Ga Ni
8 2 2
direct
0.144 0.250 0.069
0.223 0.750 0.382
0.325 0.507 0.763
0.325 0.993 0.763
0.675 0.007 0.237
0.675 0.493 0.237
0.777 0.250 0.618
0.856 0.750 0.931
0.229 0.250 0.435
0.771 0.750 0.565
0.344 0.750 0.054
0.656 0.250 0.946
```


CsRb2GeAs2: optimized geometry, GGA-PBE.

Summary:
Total magnetic moment: 0.0 μB/cell
Formation energy from the elements: -0.277 eV/atom

```
CsRb2GeAs2
1.0
-4.454 7.435 3.543
4.454 -7.435 3.543
4.454 7.435 -3.543
Cs Rb Ge As
2 4 2 4
direct
0.250 0.250 0.000
0.750 0.750 0.000
0.184 0.678 0.863
0.316 0.178 0.494
0.684 0.822 0.506
0.816 0.322 0.137
0.250 0.750 0.500
0.750 0.250 0.500
0.086 0.332 0.418
0.414 0.832 0.245
0.586 0.168 0.755
0.914 0.668 0.582
```


Li3Cd2Pd: optimized geometry, GGA-PBE.

Summary:
Energy above the lowest structure with this stoichiometry: 154 meV per atom
Total magnetic moment: 0.0 μB/cell
Formation energy from the elements: -0.172 eV/atom

```
Li3Cd2Pd
1.0
5.178 0.000 0.000
-2.589 4.484 0.000
0.000 0.000 8.547
Li Cd Pd
6 4 2
direct
0.176 0.352 0.235
0.176 0.824 0.235
0.352 0.176 0.765
0.648 0.824 0.235
0.824 0.176 0.765
0.824 0.648 0.765
0.000 0.000 0.000
0.000 0.000 0.500
0.333 0.667 0.591
0.667 0.333 0.409
0.333 0.667 0.936
0.667 0.333 0.064
```


Tm4ScZn: optimized geometry, GGA-PBE.

Summary:
Energy above the lowest structure with this stoichiometry: 101 meV per atom
Total magnetic moment: 0.0 μB/cell
Formation energy from the elements: 0.015 eV/atom

```
Tm4ScZn
1.0
4.262 -6.804 0.000
4.262 6.804 0.000
-1.801 0.000 5.616
Tm Sc Zn
8 2 2
direct
0.084 0.710 0.943
0.194 0.382 0.649
0.290 0.916 0.557
0.382 0.194 0.149
0.618 0.806 0.851
0.710 0.084 0.443
0.806 0.618 0.351
0.916 0.290 0.057
0.390 0.610 0.250
0.610 0.390 0.750
0.003 0.997 0.750
0.997 0.003 0.250
```


Ba3Hg8Bi3: optimized geometry, GGA-PBE.

Summary:
Energy above the lowest structure with this stoichiometry: 16 meV per atom
Total magnetic moment: 0.0 μB/cell
Formation energy from the elements: -0.403 eV/atom

```
Ba3Hg8Bi3
1.0
-2.484 5.974 7.511
2.484 -5.974 7.511
2.484 5.974 -7.511
Ba Hg Bi
3 8 3
direct
0.000 0.000 0.000
0.311 0.311 0.000
0.689 0.689 0.000
0.042 0.669 0.373
0.126 0.855 0.270
0.296 0.669 0.627
0.415 0.145 0.270
0.585 0.855 0.730
0.704 0.331 0.373
0.874 0.145 0.730
0.958 0.331 0.627
0.295 0.500 0.795
0.500 0.000 0.500
0.705 0.500 0.205
```


Sc2BeAlC: optimized geometry, GGA-PBE.

Summary:
Energy above the lowest structure with this stoichiometry: 0 meV per atom
Total magnetic moment: 0.0 μB/cell
Formation energy from the elements: -0.335 eV/atom

```
Sc2BeAlC
1.0
4.655 0.000 0.000
0.000 4.655 0.000
0.000 0.000 3.501
Sc Be Al C
2 1 1 1
direct
0.000 0.500 0.000
0.500 0.000 0.000
0.000 0.000 0.500
0.500 0.500 0.500
0.000 0.000 0.000
```


Li5Ir: optimized geometry, GGA-PBE.

Summary:
Energy above the lowest structure with this stoichiometry: 65 meV per atom
Total magnetic moment: 0.0 μB/cell
Formation energy from the elements: 0.005 eV/atom

```
Li5Ir
1.0
2.704 0.000 0.000
0.000 2.704 0.000
0.000 0.000 13.635
Li Ir
5 1
direct
0.000 0.000 0.000
0.000 0.000 0.364
0.000 0.000 0.636
0.500 0.500 0.177
0.500 0.500 0.823
0.500 0.500 0.500
```